No. 1
8
Lattice="12.984 -1.715 0.000 12.984 1.715 0.000 -0.774 0.000 5.808" Properties=species:S:1:pos:R:3 comment="Nd3Ho4In PBE optimized geometry" formation_energy_mev_per_atom=67 relative_energy_ev_per_atom=0.179 pbc="T T T"
Nd 0.000 0.000 0.000
Nd 3.746 0.000 1.200
Nd 21.447 0.000 4.609
Ho 2.075 0.000 3.917
Ho 7.129 0.000 1.540
Ho 18.064 0.000 4.268
Ho 23.118 0.000 1.892
In 12.596 0.000 2.904

***

No. 2
13
Lattice="6.397 0.000 0.000 -3.198 5.540 0.000 0.000 0.000 11.097" Properties=species:S:1:pos:R:3 comment="Nd6HoIn6 PBE optimized geometry" formation_energy_mev_per_atom=-323 pbc="T T T"
Nd 0.000 0.000 1.875
Nd 0.000 0.000 9.222
Nd 0.000 3.693 0.000
Nd 0.000 3.693 5.549
Nd 3.198 1.847 0.000
Nd 3.198 1.847 5.549
Ho 0.000 0.000 5.549
In -1.599 2.770 2.813
In -1.599 2.770 8.284
In 3.198 0.000 2.813
In 3.198 0.000 8.284
In 1.599 2.770 2.813
In 1.599 2.770 8.284

***

No. 3
20
Lattice="8.128 0.000 0.000 0.000 9.389 0.000 0.000 0.000 8.836" Properties=species:S:1:pos:R:3 comment="Nd5HoIn4 PBE optimized geometry" formation_energy_mev_per_atom=-140 relative_energy_ev_per_atom=0.233 pbc="T T T"
Nd 0.007 0.518 2.007
Nd 0.007 4.177 2.007
Nd 2.032 2.347 5.104
Nd 4.057 0.518 2.007
Nd 4.057 4.177 2.007
Nd 4.071 5.212 6.830
Nd 4.071 8.872 6.830
Nd 6.096 7.042 3.732
Nd 8.121 5.212 6.830
Nd 8.121 8.872 6.830
Ho 2.032 7.042 1.498
Ho 6.096 2.347 7.338
In 0.679 2.347 8.265
In 2.032 5.561 4.316
In 2.032 8.523 4.316
In 3.385 2.347 8.265
In 4.743 7.042 0.571
In 6.096 0.867 4.520
In 6.096 3.828 4.520
In 7.449 7.042 0.571